Below is PrEr2TmTe6 after structural relaxation, with properties calculated at the PBE level.

Crystal system = trigonal
Formation energy (no corrections) = -1.346 eV/atom

Cell: 8.3152 8.3152 8.3152 Å, 55.39 55.39 55.39°
Fractional positions:
Pr 0.0000 0.0000 0.0000
Er 0.3090 0.3090 0.3090
Er 0.8119 0.8119 0.8119
Tm 0.4959 0.4959 0.4959
Te 0.0871 0.6984 0.4226
Te 0.2172 0.5801 0.9040
Te 0.4226 0.0871 0.6984
Te 0.5801 0.9040 0.2172
Te 0.6984 0.4226 0.0871
Te 0.9040 0.2172 0.5801